The following is a PBE calculation of a relaxed VMoPd3 crystal, from Alexandria via LeMat-Bulk.

Unit cell a=4.5866 b=4.5866 c=4.5866 alpha=90.00 beta=90.00 gamma=90.00
Closest atoms and distances in Å follow each position.
Sites, in units of the cell vectors:
Mo  0.5000  0.5000  0.5000  12 Pd 3.24
Pd  0.0000  0.5000  0.0000  2 V 2.29
Pd  0.0000  0.0000  0.5000  2 V 2.29
Pd  0.5000  0.0000  0.0000  2 V 2.29
V  0.0000  0.0000  0.0000  6 Pd 2.29

Output
As for the space group: Pm-3m (221). The energy of formation from the pure elements comes out at 1061 meV per atom. Its energy above the most stable polymorph in this dataset is 1.173 eV per atom.

The following is a PBE calculation of a relaxed BaTl6Sn6 crystal, from Alexandria via LeMat-Bulk.

Unit cell a=6.4884 b=8.5701 c=8.5701 alpha=84.33 beta=67.76 gamma=67.76
Closest atoms and distances in Å follow each position.
Sites, in units of the cell vectors:
Ba  0.0000  0.0000  0.0000  8 Tl 3.81-4.12, 4 Sn 4.18
Tl  0.3489  0.6511  0.6511  3 Tl 3.30-3.65, 6 Sn 3.47-3.53
Tl  0.6511  0.3489  0.3489  3 Tl 3.30-3.65, 6 Sn 3.47-3.53
Tl  0.0000  0.3583  0.6417  1 Tl 3.26, 6 Sn 3.41-3.57
Tl  0.0000  0.6417  0.3583  1 Tl 3.26, 6 Sn 3.41-3.57
Tl  0.3033  0.1967  0.1967  6 Sn 3.35-3.40, 4 Tl 3.65-3.69
Tl  0.6967  0.8033  0.8033  6 Sn 3.35-3.40, 4 Tl 3.65-3.69
Sn  0.0000  0.5000  0.0000  4 Sn 3.19-3.24, 6 Tl 3.35-3.47
Sn  0.5000  0.5000  0.0000  4 Sn 3.19-3.24, 6 Tl 3.35-3.47
Sn  0.0000  0.0000  0.5000  4 Sn 3.19-3.24, 6 Tl 3.35-3.47
Sn  0.5000  0.0000  0.5000  4 Sn 3.19-3.24, 6 Tl 3.35-3.47
Sn  0.5000  0.7714  0.2286  4 Sn 3.19, 4 Tl 3.40-3.53
Sn  0.5000  0.2286  0.7714  4 Sn 3.19, 4 Tl 3.40-3.53

Output
As for the space group: Immm (71). The energy of formation from the pure elements comes out at -80 meV per atom.

The following is a PBE calculation of a relaxed Ca2Hf2Re crystal, from Alexandria via LeMat-Bulk.

Unit cell a=6.8750 b=6.8750 c=5.7308 alpha=90.00 beta=90.00 gamma=90.00
Closest atoms and distances in Å follow each position.
Sites, in units of the cell vectors:
Re  0.0000  0.0000  0.0000  4 Hf 2.58
Re  0.5000  0.5000  0.0000  4 Hf 2.58
Ca  0.1786  0.6786  0.5000  2 Hf 3.26, 5 Ca 3.47-3.57
Ca  0.6786  0.8214  0.5000  2 Hf 3.26, 5 Ca 3.47-3.57
Ca  0.8214  0.3214  0.5000  2 Hf 3.26, 5 Ca 3.47-3.57
Ca  0.3214  0.1786  0.5000  2 Hf 3.26, 5 Ca 3.47-3.57
Hf  0.3389  0.8389  0.0000  2 Re 2.58
Hf  0.8389  0.6611  0.0000  2 Re 2.58
Hf  0.6611  0.1611  0.0000  2 Re 2.58
Hf  0.1611  0.3389  0.0000  2 Re 2.58

Output
As for the space group: P4/mbm (127). The energy of formation from the pure elements comes out at 406 meV per atom. Its energy above the most stable polymorph in this dataset is 0.000 eV per atom.